Material: Li2MnFeB2O6
Method: DFT, GGA+U
State: relaxed

Output
Raw total energy (eV/cell): -341.52
Calculated volume (Å³ per cell): 494.5
Magnetization (μB/f.u.): 8.9
Crystal system: monoclinic
Density (Mg/m³): 3.25

Unit cell a=5.242 b=9.071 c=10.404 alpha=90.00 beta=91.82 gamma=90.00
Space group Cc (No. 9)
Symmetry-distinct sites (fractional):
Li (0.000, 0.008, 0.000) x4
Li (0.325, 0.012, 0.249) x4
Mn (0.321, 0.337, 0.216) x4
Fe (0.495, 0.164, 0.965) x4
B (0.327, 0.330, 0.708) x4
B (0.496, 0.167, 0.459) x4
O (0.066, 0.340, 0.677) x4
O (0.252, 0.341, 0.999) x4
O (0.350, 0.040, 0.445) x4
O (0.383, 0.303, 0.428) x4
O (0.430, 0.195, 0.750) x4
O (0.481, 0.452, 0.694) x4